(1)
# GGA-PBE Ni3Ir2Rh4, optimized geometry
data_Ni3Ir2Rh4
_cell_length_a 4.628
_cell_length_b 4.628
_cell_length_c 7.963
_cell_angle_alpha 107.40
_cell_angle_beta 107.40
_cell_angle_gamma 47.95
_symmetry_space_group_name_H-M 'P 1'
_symmetry_Int_Tables_number 1
_symmetry_space_group_name_Hall 'P 1'
loop_
_atom_site_label
_atom_site_type_symbol
_atom_site_fract_x
_atom_site_fract_y
_atom_site_fract_z
Ni1 Ni 0.000 0.000 0.000
Ni2 Ni 0.334 0.334 0.444
Ni3 Ni 0.666 0.666 0.556
Ir1 Ir 0.333 0.333 0.112
Ir2 Ir 0.667 0.667 0.888
Rh1 Rh 0.004 0.004 0.340
Rh2 Rh 0.333 0.333 0.775
Rh3 Rh 0.667 0.667 0.225
Rh4 Rh 0.996 0.996 0.660
# DFT formation energy = 22 meV per atom
# offset from the most stable computed form = 0 meV per atom
# M_tot = 1.65 μB per formula unit

=====

(2)
# GGA-PBE SrTi4SnO12, optimized geometry
data_SrTi4SnO12
_cell_length_a 5.510
_cell_length_b 5.510
_cell_length_c 7.780
_cell_angle_alpha 90.00
_cell_angle_beta 90.00
_cell_angle_gamma 90.00
_symmetry_space_group_name_H-M 'P 1'
_symmetry_Int_Tables_number 1
_symmetry_space_group_name_Hall 'P 1'
loop_
_atom_site_label
_atom_site_type_symbol
_atom_site_fract_x
_atom_site_fract_y
_atom_site_fract_z
Sr1 Sr 0.000 0.000 0.000
Ti1 Ti 0.000 0.500 0.250
Ti2 Ti 0.000 0.500 0.750
Ti3 Ti 0.500 0.000 0.250
Ti4 Ti 0.500 0.000 0.750
Sn1 Sn 0.500 0.500 0.500
O1 O 0.000 0.500 0.000
O2 O 0.000 0.500 0.500
O3 O 0.253 0.253 0.255
O4 O 0.253 0.253 0.745
O5 O 0.253 0.747 0.255
O6 O 0.253 0.747 0.745
O7 O 0.500 0.000 0.000
O8 O 0.500 0.000 0.500
O9 O 0.747 0.253 0.255
O10 O 0.747 0.253 0.745
O11 O 0.747 0.747 0.255
O12 O 0.747 0.747 0.745
# ΔE_f (raw) = -2273 meV per atom
# M_tot = 3.55 μB per formula unit

=====

(3)
# GGA-PBE Tl12As5P3, optimized geometry
data_Tl12As5P3
_cell_length_a 14.748
_cell_length_b 14.748
_cell_length_c 14.748
_cell_angle_alpha 109.47
_cell_angle_beta 109.47
_cell_angle_gamma 109.47
_symmetry_space_group_name_H-M 'P 1'
_symmetry_Int_Tables_number 1
_symmetry_space_group_name_Hall 'P 1'
loop_
_atom_site_label
_atom_site_type_symbol
_atom_site_fract_x
_atom_site_fract_y
_atom_site_fract_z
Tl1 Tl 0.058 0.229 0.134
Tl2 Tl 0.058 0.329 0.924
Tl3 Tl 0.076 0.634 0.405
Tl4 Tl 0.076 0.942 0.671
Tl5 Tl 0.095 0.729 0.671
Tl6 Tl 0.095 0.866 0.424
Tl7 Tl 0.134 0.058 0.229
Tl8 Tl 0.134 0.576 0.905
Tl9 Tl 0.171 0.229 0.595
Tl10 Tl 0.171 0.442 0.576
Tl11 Tl 0.229 0.134 0.058
Tl12 Tl 0.229 0.595 0.171
Tl13 Tl 0.271 0.329 0.905
Tl14 Tl 0.271 0.442 0.366
Tl15 Tl 0.329 0.905 0.271
Tl16 Tl 0.329 0.924 0.058
Tl17 Tl 0.366 0.271 0.442
Tl18 Tl 0.366 0.595 0.924
Tl19 Tl 0.405 0.076 0.634
Tl20 Tl 0.405 0.829 0.771
Tl21 Tl 0.424 0.095 0.866
Tl22 Tl 0.424 0.829 0.558
Tl23 Tl 0.442 0.366 0.271
Tl24 Tl 0.442 0.576 0.171
Tl25 Tl 0.558 0.424 0.829
Tl26 Tl 0.558 0.634 0.729
Tl27 Tl 0.576 0.171 0.442
Tl28 Tl 0.576 0.905 0.134
Tl29 Tl 0.595 0.171 0.229
Tl30 Tl 0.595 0.924 0.366
Tl31 Tl 0.634 0.405 0.076
Tl32 Tl 0.634 0.729 0.558
Tl33 Tl 0.671 0.076 0.942
Tl34 Tl 0.671 0.095 0.729
Tl35 Tl 0.729 0.558 0.634
Tl36 Tl 0.729 0.671 0.095
Tl37 Tl 0.771 0.405 0.829
Tl38 Tl 0.771 0.866 0.942
Tl39 Tl 0.829 0.558 0.424
Tl40 Tl 0.829 0.771 0.405
Tl41 Tl 0.866 0.424 0.095
Tl42 Tl 0.866 0.942 0.771
Tl43 Tl 0.905 0.134 0.576
Tl44 Tl 0.905 0.271 0.329
Tl45 Tl 0.924 0.058 0.329
Tl46 Tl 0.924 0.366 0.595
Tl47 Tl 0.942 0.671 0.076
Tl48 Tl 0.942 0.771 0.866
As1 As 0.000 0.000 0.000
As2 As 0.000 0.000 0.500
As3 As 0.000 0.500 0.000
As4 As 0.000 0.500 0.500
As5 As 0.125 0.750 0.875
As6 As 0.125 0.875 0.250
As7 As 0.250 0.125 0.875
As8 As 0.250 0.625 0.375
As9 As 0.375 0.250 0.625
As10 As 0.375 0.625 0.750
As11 As 0.500 0.000 0.000
As12 As 0.500 0.000 0.500
As13 As 0.500 0.500 0.000
As14 As 0.500 0.500 0.500
As15 As 0.625 0.375 0.250
As16 As 0.625 0.750 0.375
As17 As 0.750 0.375 0.625
As18 As 0.750 0.875 0.125
As19 As 0.875 0.125 0.750
As20 As 0.875 0.250 0.125
P1 P 0.125 0.250 0.375
P2 P 0.125 0.375 0.750
P3 P 0.250 0.375 0.125
P4 P 0.250 0.875 0.625
P5 P 0.375 0.125 0.250
P6 P 0.375 0.750 0.125
P7 P 0.625 0.250 0.875
P8 P 0.625 0.875 0.750
P9 P 0.750 0.125 0.375
P10 P 0.750 0.625 0.875
P11 P 0.875 0.625 0.250
P12 P 0.875 0.750 0.625
# DFT formation energy = 248 meV per atom
# M_tot = 0.00 μB per formula unit

=====

(4)
# GGA-PBE NiPtS4, optimized geometry
data_NiPtS4
_cell_length_a 6.944
_cell_length_b 6.944
_cell_length_c 6.012
_cell_angle_alpha 113.76
_cell_angle_beta 113.76
_cell_angle_gamma 29.00
_symmetry_space_group_name_H-M 'P 1'
_symmetry_Int_Tables_number 1
_symmetry_space_group_name_Hall 'P 1'
loop_
_atom_site_label
_atom_site_type_symbol
_atom_site_fract_x
_atom_site_fract_y
_atom_site_fract_z
Ni1 Ni 0.000 0.000 0.000
Pt1 Pt 0.500 0.500 0.500
S1 S 0.100 0.100 0.413
S2 S 0.404 0.404 0.064
S3 S 0.596 0.596 0.936
S4 S 0.900 0.900 0.587
# ΔE_f (raw) = -270 meV per atom
# M_tot = 0.00 μB per formula unit

=====

(5)
# GGA-PBE La3Mg4Ir4, optimized geometry
data_La3Mg4Ir4
_cell_length_a 8.572
_cell_length_b 8.572
_cell_length_c 8.572
_cell_angle_alpha 152.10
_cell_angle_beta 124.94
_cell_angle_gamma 62.84
_symmetry_space_group_name_H-M 'P 1'
_symmetry_Int_Tables_number 1
_symmetry_space_group_name_Hall 'P 1'
loop_
_atom_site_label
_atom_site_type_symbol
_atom_site_fract_x
_atom_site_fract_y
_atom_site_fract_z
La1 La 0.000 0.000 0.000
La2 La 0.383 0.883 0.500
La3 La 0.617 0.117 0.500
Mg1 Mg 0.015 0.325 0.690
Mg2 Mg 0.365 0.675 0.690
Mg3 Mg 0.635 0.325 0.310
Mg4 Mg 0.985 0.675 0.310
Ir1 Ir 0.231 0.231 0.000
Ir2 Ir 0.308 0.500 0.808
Ir3 Ir 0.692 0.500 0.192
Ir4 Ir 0.769 0.769 0.000
# DFT formation energy = -532 meV per atom
# M_tot = 0.00 μB per formula unit

=====

| no. | electronic total energy (eV for the cell shown) |
| --- | --- |
| 1 | -64.27 |
| 2 | -137.67 |
| 3 | -251.65 |
| 4 | -29.95 |
| 5 | -62.46 |